Entry 1:
A relaxed structure of HfGaIrRh. Source: Alexandria via LeMat-Bulk, functional GGA-PBE.

a b c (Å): 4.2262 4.2262 7.0643
angles (deg): 90.00 90.00 90.00
Space group I-4m2 (No. 119)
Unique sites:
Hf 0.0000 0.0000 0.0000 [2 per cell]
Ga 0.0000 0.0000 0.5000 [2 per cell]
Ir 0.0000 0.5000 0.2500 [2 per cell]
Rh 0.0000 0.5000 0.7500 [2 per cell]

Computed properties:
**DOS(E_F)**: 2.2 states/eV per cell
**M_tot**: 0.0000 μB per atom
**DFT formation energy**: -0.884 eV/atom

Entry 2:
A relaxed structure of HfGa2SbIr. Source: Alexandria via LeMat-Bulk, functional GGA-PBE.

a b c (Å): 5.0406 5.0406 4.8793
angles (deg): 90.00 90.00 90.00
Space group P4/mmm (No. 123)
Unique sites:
Hf 0.0000 0.0000 0.0000 [1 per cell]
Ga 0.0000 0.5000 0.5000 [2 per cell]
Sb 0.5000 0.5000 0.5000 [1 per cell]
Ir 0.5000 0.5000 0.0000 [1 per cell]

Computed properties:
**DOS(E_F)**: 3.7 states/eV per cell
**M_tot**: 0.0000 μB per atom
**Formation energy without anion corrections**: 1.059 eV per atom

Entry 3:
A relaxed structure of HfScGaIr. Source: Alexandria via LeMat-Bulk, functional GGA-PBE.

a b c (Å): 3.3378 3.3378 6.4841
angles (deg): 90.00 90.00 90.00
Space group P4mm (No. 99)
Unique sites:
Hf 0.0000 0.0000 0.0000 [1 per cell]
Sc 0.0000 0.0000 0.5182 [1 per cell]
Ga 0.5000 0.5000 0.2612 [1 per cell]
Ir 0.5000 0.5000 0.7702 [1 per cell]

Computed properties:
**DOS(E_F)**: 2.2 states/eV per cell
**M_tot**: 0.0000 μB per atom
**DFT formation energy**: -0.732 eV/atom

Entry 4:
A relaxed structure of HfScGaIr2. Source: Alexandria via LeMat-Bulk, functional GGA-PBE.

a b c (Å): 4.5775 4.5775 4.8315
angles (deg): 90.00 90.00 90.00
Space group P4/mmm (No. 123)
Unique sites:
Hf 0.0000 0.0000 0.0000 [1 per cell]
Sc 0.5000 0.5000 0.0000 [1 per cell]
Ga 0.0000 0.0000 0.5000 [1 per cell]
Ir 0.0000 0.5000 0.5000 [2 per cell]

Computed properties:
**DOS(E_F)**: 6.2 states/eV per cell
**M_tot**: 0.0592 μB per atom
**DFT formation energy**: 0.462 eV/atom

Entry 5:
A relaxed structure of Sm2HfGa3Ir4. Source: Alexandria via LeMat-Bulk, functional GGA-PBE.

a b c (Å): 4.2082 4.2082 10.9593
angles (deg): 90.00 90.00 90.00
Space group P-4m2 (No. 115)
Unique sites:
Sm 0.0000 0.5000 0.2249 [2 per cell]
Hf 0.0000 0.0000 0.5000 [1 per cell]
Ga 0.0000 0.5000 0.8763 [2 per cell]
Ga 0.5000 0.5000 0.5000 [1 per cell]
Ir 0.0000 0.0000 0.0000 [1 per cell]
Ir 0.0000 0.5000 0.6462 [2 per cell]
Ir 0.5000 0.5000 0.0000 [1 per cell]

Computed properties:
**DOS(E_F)**: 5.9 states/eV per cell
**M_tot**: 0.0000 μB per atom
**DFT formation energy**: -0.759 eV/atom

Entry 6:
A relaxed structure of TbHfGaIr. Source: Alexandria via LeMat-Bulk, functional GGA-PBE.

a b c (Å): 6.8261 6.8261 6.8261
angles (deg): 90.00 90.00 90.00
Space group F-43m (No. 216)
Unique sites:
Tb 0.0000 0.0000 0.0000 [4 per cell]
Hf 0.0000 0.0000 0.5000 [4 per cell]
Ga 0.2500 0.2500 0.7500 [4 per cell]
Ir 0.2500 0.2500 0.2500 [4 per cell]

Computed properties:
**DOS(E_F)**: 11.8 states/eV per cell
**M_tot**: 0.0000 μB per atom
**DFT formation energy**: -0.543 eV/atom

Entry 7:
A relaxed structure of Tb2HfGa3Ir4. Source: Alexandria via LeMat-Bulk, functional GGA-PBE.

a b c (Å): 4.1689 4.1689 10.9930
angles (deg): 90.00 90.00 90.00
Space group P-4m2 (No. 115)
Unique sites:
Tb 0.0000 0.5000 0.2226 [2 per cell]
Hf 0.0000 0.0000 0.5000 [1 per cell]
Ga 0.0000 0.5000 0.8748 [2 per cell]
Ga 0.5000 0.5000 0.5000 [1 per cell]
Ir 0.0000 0.0000 0.0000 [1 per cell]
Ir 0.0000 0.5000 0.6475 [2 per cell]
Ir 0.5000 0.5000 0.0000 [1 per cell]

Computed properties:
**DOS(E_F)**: 5.4 states/eV per cell
**M_tot**: 0.0000 μB per atom
**DFT formation energy**: -0.765 eV/atom

Entry 8:
A relaxed structure of HfGaTc2Ir. Source: Alexandria via LeMat-Bulk, functional GGA-PBE.

a b c (Å): 4.7990 4.7990 4.8486
angles (deg): 90.00 90.00 90.00
Space group P4/mmm (No. 123)
Unique sites:
Hf 0.0000 0.0000 0.0000 [1 per cell]
Ga 0.5000 0.5000 0.5000 [1 per cell]
Tc 0.0000 0.5000 0.0000 [2 per cell]
Ir 0.0000 0.0000 0.5000 [1 per cell]

Computed properties:
**DOS(E_F)**: 4.8 states/eV per cell
**M_tot**: 0.7041 μB per atom
**DFT formation energy**: 1.648 eV/atom

Entry 9:
A relaxed structure of HfGaTcIr. Source: Alexandria via LeMat-Bulk, functional GGA-PBE.

a b c (Å): 3.3500 4.3225 4.3815
angles (deg): 90.00 90.00 90.00
Space group Pmmm (No. 47)
Unique sites:
Hf 0.0000 0.0000 0.0000 [1 per cell]
Ga 0.0000 0.5000 0.5000 [1 per cell]
Tc 0.5000 0.0000 0.5000 [1 per cell]
Ir 0.5000 0.5000 0.0000 [1 per cell]

Computed properties:
**DOS(E_F)**: 3.2 states/eV per cell
**M_tot**: 0.0002 μB per atom
**DFT formation energy**: -0.577 eV/atom

Entry 10:
A relaxed structure of Hf2TiGa2Ir5. Source: Alexandria via LeMat-Bulk, functional GGA-PBE.

a b c (Å): 9.3834 9.3834 3.6645
angles (deg): 90.00 90.00 90.00
Space group P4/mbm (No. 127)
Unique sites:
Hf 0.1729 0.3271 0.0000 [4 per cell]
Ti 0.0000 0.0000 0.0000 [2 per cell]
Ga 0.1260 0.6260 0.0000 [4 per cell]
Ir 0.0000 0.5000 0.5000 [2 per cell]
Ir 0.0687 0.7980 0.5000 [8 per cell]

Computed properties:
**DOS(E_F)**: 4.5 states/eV per cell
**M_tot**: 0.0000 μB per atom
**DFT formation energy**: -0.702 eV/atom

Entry 11:
A relaxed structure of Y2HfGa3Ir4. Source: Alexandria via LeMat-Bulk, functional GGA-PBE.

a b c (Å): 4.1611 4.1611 11.0185
angles (deg): 90.00 90.00 90.00
Space group P-4m2 (No. 115)
Unique sites:
Y 0.0000 0.5000 0.2224 [2 per cell]
Hf 0.0000 0.0000 0.5000 [1 per cell]
Ga 0.0000 0.5000 0.8745 [2 per cell]
Ga 0.5000 0.5000 0.5000 [1 per cell]
Ir 0.0000 0.0000 0.0000 [1 per cell]
Ir 0.0000 0.5000 0.6477 [2 per cell]
Ir 0.5000 0.5000 0.0000 [1 per cell]

Computed properties:
**DOS(E_F)**: 5.5 states/eV per cell
**M_tot**: 0.0000 μB per atom
**DFT formation energy**: -0.764 eV/atom

Entry 12:
A relaxed structure of YHfGaIr. Source: Alexandria via LeMat-Bulk, functional GGA-PBE.

a b c (Å): 6.8186 6.8186 6.8186
angles (deg): 90.00 90.00 90.00
Space group F-43m (No. 216)
Unique sites:
Y 0.0000 0.0000 0.0000 [4 per cell]
Hf 0.0000 0.0000 0.5000 [4 per cell]
Ga 0.2500 0.2500 0.7500 [4 per cell]
Ir 0.2500 0.2500 0.2500 [4 per cell]

Computed properties:
**DOS(E_F)**: 12.1 states/eV per cell
**M_tot**: 0.0000 μB per atom
**DFT formation energy**: -0.557 eV/atom

Entry 13:
A relaxed structure of HfZrGaIr. Source: Alexandria via LeMat-Bulk, functional GGA-PBE.

a b c (Å): 4.1824 3.4849 10.3528
angles (deg): 90.00 90.00 90.00
Space group Amm2 (No. 38)
Unique sites:
Hf 0.0000 0.0000 0.0000 [2 per cell]
Zr 0.5000 0.0000 0.7103 [2 per cell]
Ga 0.0000 0.0000 0.2780 [2 per cell]
Ir 0.5000 0.0000 0.4470 [2 per cell]

Computed properties:
**DOS(E_F)**: 4.7 states/eV per cell
**M_tot**: 0.0000 μB per atom
**DFT formation energy**: -0.745 eV/atom

Entry 14:
A relaxed structure of HfZr2Ga2Ir5. Source: Alexandria via LeMat-Bulk, functional GGA-PBE.

a b c (Å): 9.4863 9.4863 3.7342
angles (deg): 90.00 90.00 90.00
Space group P4/mbm (No. 127)
Unique sites:
Hf 0.0000 0.0000 0.0000 [2 per cell]
Zr 0.1735 0.3265 0.0000 [4 per cell]
Ga 0.1240 0.6240 0.0000 [4 per cell]
Ir 0.0000 0.5000 0.5000 [2 per cell]
Ir 0.0697 0.7934 0.5000 [8 per cell]

Computed properties:
**DOS(E_F)**: 3.6 states/eV per cell
**M_tot**: 0.0000 μB per atom
**DFT formation energy**: -0.742 eV/atom

Entry 15:
A relaxed structure of KHf3Ga. Source: Alexandria via LeMat-Bulk, functional GGA-PBE.

a b c (Å): 4.8864 4.8864 4.8864
angles (deg): 90.00 90.00 90.00
Space group Pm-3m (No. 221)
Unique sites:
K 0.0000 0.0000 0.0000 [1 per cell]
Hf 0.0000 0.0000 0.5000 [3 per cell]
Ga 0.5000 0.5000 0.5000 [1 per cell]

Computed properties:
**DOS(E_F)**: 7.0 states/eV per cell
**M_tot**: 0.3718 μB per atom
**Offset from the most stable computed form**: 1176 meV/atom
**DFT formation energy**: 2.144 eV/atom

Entry 16:
A relaxed structure of KHf3Ga. Source: Alexandria via LeMat-Bulk, functional GGA-PBE.

a b c (Å): 5.1931 5.1931 5.1931
angles (deg): 90.00 90.00 90.00
Space group Pm-3m (No. 221)
Unique sites:
K 0.0000 0.0000 0.0000 [1 per cell]
Hf 0.0000 0.5000 0.5000 [3 per cell]
Ga 0.5000 0.5000 0.5000 [1 per cell]

Computed properties:
**DOS(E_F)**: 11.0 states/eV per cell
**M_tot**: 0.0012 μB per atom
**Offset from the most stable computed form**: 0 meV/atom
**DFT formation energy**: 0.968 eV/atom

Entry 17:
A relaxed structure of KHf2Ga. Source: Alexandria via LeMat-Bulk, functional GGA-PBE.

a b c (Å): 5.3756 5.3756 19.6131
angles (deg): 90.00 90.00 90.00
Space group I-42d (No. 122)
Unique sites:
K 0.0000 0.0000 0.0000 [4 per cell]
Hf 0.0201 0.7500 0.6250 [8 per cell]
Ga 0.0000 0.0000 0.5000 [4 per cell]

Computed properties:
**DOS(E_F)**: 19.0 states/eV per cell
**M_tot**: 0.0000 μB per atom
**DFT formation energy**: 1.045 eV/atom

Entry 18:
A relaxed structure of KNaHfGa2. Source: Alexandria via LeMat-Bulk, functional GGA-PBE.

a b c (Å): 5.3030 5.3030 6.1040
angles (deg): 90.00 90.00 90.00
Space group P4/mmm (No. 123)
Unique sites:
K 0.0000 0.0000 0.0000 [1 per cell]
Na 0.5000 0.5000 0.0000 [1 per cell]
Hf 0.5000 0.5000 0.5000 [1 per cell]
Ga 0.0000 0.5000 0.5000 [2 per cell]

Computed properties:
**DOS(E_F)**: 5.1 states/eV per cell
**M_tot**: 0.0000 μB per atom
**DFT formation energy**: 0.475 eV/atom

Entry 19:
A relaxed structure of K2HfGa2O6. Source: Alexandria via LeMat-Bulk, functional GGA-PBE.

a b c (Å): 10.1223 5.9263 6.6098
angles (deg): 90.00 116.37 90.00
Space group C2/m (No. 12)
Unique sites:
K 0.1987 0.0000 0.1246 [4 per cell]
Hf 0.0000 0.0000 0.5000 [2 per cell]
Ga 0.0840 0.5000 0.2997 [4 per cell]
O 0.0189 0.2446 0.7426 [8 per cell]
O 0.2274 0.0000 0.6401 [4 per cell]

Computed properties:
**DOS(E_F)**: 0.0 states/eV per cell
**M_tot**: 0.0000 μB per atom
**Formation energy without anion corrections**: -2.165 eV per atom

Entry 20:
A relaxed structure of KHfGa2O6. Source: Alexandria via LeMat-Bulk, functional GGA-PBE.

a b c (Å): 9.3920 12.0515 6.4636
angles (deg): 90.00 114.33 90.00
Space group C2/c (No. 15)
Unique sites:
K 0.0000 0.1056 0.2500 [4 per cell]
Hf 0.0000 0.1939 0.7500 [4 per cell]
Ga 0.1319 0.4189 0.1480 [8 per cell]
O 0.0777 0.2778 0.0318 [8 per cell]
O 0.1034 0.4650 0.4207 [8 per cell]
O 0.1503 0.0882 0.7231 [8 per cell]

Computed properties:
**M_tot**: 0.1077 μB per atom
**Formation energy without anion corrections**: -2.056 eV per atom

Entry 21:
A relaxed structure of K2HfGaO5. Source: Alexandria via LeMat-Bulk, functional GGA-PBE.

a b c (Å): 3.2136 15.2956 12.5439
angles (deg): 90.00 90.00 90.00
Space group Cmc2_1 (No. 36)
Unique sites:
K 0.0000 0.0746 0.0000 [4 per cell]
K 0.0000 0.1474 0.6748 [4 per cell]
Hf 0.0000 0.2097 0.3911 [4 per cell]
Ga 0.0000 0.4354 0.7752 [4 per cell]
O 0.0000 0.0590 0.3575 [4 per cell]
O 0.0000 0.2970 0.9927 [4 per cell]
O 0.0000 0.3106 0.7763 [4 per cell]
O 0.0000 0.3374 0.3644 [4 per cell]
O 0.0000 0.4968 0.6522 [4 per cell]

Computed properties:
**DOS(E_F)**: 19.4 states/eV per cell
**M_tot**: 0.1164 μB per atom
**Formation energy without anion corrections**: -2.097 eV per atom

Entry 22:
A relaxed structure of K2HfGaS4. Source: Alexandria via LeMat-Bulk, functional GGA-PBE.

a b c (Å): 6.4563 13.7577 22.9041
angles (deg): 90.00 90.00 90.00
Space group Fddd (No. 70, origin choice 2)
Unique sites:
K 0.1250 0.1250 0.3068 [16 per cell]
Hf 0.1250 0.1250 0.1250 [8 per cell]
Ga 0.1250 0.1250 0.6250 [8 per cell]
S 0.1203 0.2791 0.4282 [32 per cell]

Computed properties:
**DOS(E_F)**: 18.6 states/eV per cell
**M_tot**: 0.0000 μB per atom
**Formation energy without anion corrections**: -1.098 eV per atom

Entry 23:
A relaxed structure of KHfGaSb3. Source: Alexandria via LeMat-Bulk, functional GGA-PBE.

a b c (Å): 9.8877 4.0440 10.5326
angles (deg): 90.00 116.86 90.00
Space group P2_1/m (No. 11)
Unique sites:
K 0.2244 0.2500 0.2569 [2 per cell]
Hf 0.3285 0.7500 0.8760 [2 per cell]
Ga 0.0846 0.2500 0.6047 [2 per cell]
Sb 0.1123 0.2500 0.8686 [2 per cell]
Sb 0.2591 0.7500 0.5717 [2 per cell]
Sb 0.4813 0.7500 0.1814 [2 per cell]

Computed properties:
**DOS(E_F)**: 3.0 states/eV per cell
**M_tot**: 0.0000 μB per atom
**Formation energy without anion corrections**: -0.306 eV per atom

| no. | total energy (eV per cell) |
| --- | --- |
| 1 | -65.5 |
| 2 | -23.7 |
| 3 | -31.1 |
| 4 | -34.7 |
| 5 | -71.5 |
| 6 | -114.6 |
| 7 | -71.4 |
| 8 | -34.3 |
| 9 | -34.5 |
| 10 | -170.4 |
| 11 | -75.0 |
| 12 | -122.1 |
| 13 | -66.7 |
| 14 | -169.7 |
| 15 | -23.3 |
| 16 | -29.1 |
| 17 | -79.4 |
| 18 | -16.0 |
| 19 | -143.5 |
| 20 | -269.7 |
| 21 | -235.4 |
| 22 | -323.7 |
| 23 | -56.6 |